Material: ZnTc4P
Method: DFT, PBE-GGA
State: relaxed

The formation energy comes out at 597 meV per atom.

The structure belongs to space group F-43m (No. 216); the cell edges are 7.2445, 7.2445 and 7.2445 Å and the angles 90.00°, 90.00° and 90.00°. The inequivalent atoms are Zn at (0.0000, 0.0000, 0.0000), Tc at (0.1243, 0.1243, 0.6243) and P at (0.2500, 0.2500, 0.2500).